No. 1
# NdGdAlCd | Alexandria via LeMat-Bulk | PBE | optimized geometry
# Size of the total moment, μB/f.u.: 7.72
# Calculated formation energy, eV/atom: -0.346
data_NdGdAlCd
_chemical_formula_sum 'Nd4 Gd4 Al4 Cd4'
_cell_length_a 7.5124
_cell_length_b 7.5124
_cell_length_c 7.5124
_cell_angle_alpha 90.00
_cell_angle_beta 90.00
_cell_angle_gamma 90.00
_symmetry_space_group_name_H-M 'F -4 3 m'
_symmetry_Int_Tables_number 216
_symmetry_space_group_name_Hall 'F -4 2 3'
loop_
_atom_site_label
_atom_site_type_symbol
_atom_site_fract_x
_atom_site_fract_y
_atom_site_fract_z
Nd1 Nd 0.0000 0.0000 0.0000
Gd1 Gd 0.0000 0.0000 0.5000
Al1 Al 0.2500 0.2500 0.7500
Cd1 Cd 0.2500 0.2500 0.2500

=====

No. 2
# SmPaV4 | Alexandria via LeMat-Bulk | PBE | optimized geometry
# Size of the total moment, μB/f.u.: 0.00
# Calculated formation energy, eV/atom: 0.237
data_SmPaV4
_chemical_formula_sum 'Sm4 Pa4 V16'
_cell_length_a 7.5527
_cell_length_b 7.5527
_cell_length_c 7.5527
_cell_angle_alpha 90.00
_cell_angle_beta 90.00
_cell_angle_gamma 90.00
_symmetry_space_group_name_H-M 'F -4 3 m'
_symmetry_Int_Tables_number 216
_symmetry_space_group_name_Hall 'F -4 2 3'
loop_
_atom_site_label
_atom_site_type_symbol
_atom_site_fract_x
_atom_site_fract_y
_atom_site_fract_z
Sm1 Sm 0.0000 0.0000 0.0000
Pa1 Pa 0.2500 0.2500 0.7500
V1 V 0.1230 0.1230 0.3770

=====

No. 3
# Be2ReAgIr | Alexandria via LeMat-Bulk | PBE | optimized geometry
# Size of the total moment, μB/f.u.: 0.88
# Calculated formation energy, eV/atom: 1.660
data_Be2ReAgIr
_chemical_formula_sum 'Be2 Re1 Ag1 Ir1'
_cell_length_a 4.0527
_cell_length_b 4.0527
_cell_length_c 4.9266
_cell_angle_alpha 90.00
_cell_angle_beta 90.00
_cell_angle_gamma 90.00
_symmetry_space_group_name_H-M 'P 4/m m m'
_symmetry_Int_Tables_number 123
_symmetry_space_group_name_Hall '-P 4 2'
loop_
_atom_site_label
_atom_site_type_symbol
_atom_site_fract_x
_atom_site_fract_y
_atom_site_fract_z
Be1 Be 0.0000 0.5000 0.0000
Re1 Re 0.0000 0.0000 0.5000
Ag1 Ag 0.0000 0.0000 0.0000
Ir1 Ir 0.5000 0.5000 0.5000

=====

No. 4
# Pm2SiRh | Alexandria via LeMat-Bulk | PBE | optimized geometry
# Size of the total moment, μB/f.u.: 0.00
# Formation energy from raw total energies, eV/atom: -0.749
data_Pm2SiRh
_chemical_formula_sum 'Pm4 Si2 Rh2'
_cell_length_a 5.7313
_cell_length_b 4.2876
_cell_length_c 8.1100
_cell_angle_alpha 90.00
_cell_angle_beta 107.64
_cell_angle_gamma 90.00
_symmetry_space_group_name_H-M 'P 1 21/m 1'
_symmetry_Int_Tables_number 11
_symmetry_space_group_name_Hall '-P 2yb'
loop_
_atom_site_label
_atom_site_type_symbol
_atom_site_fract_x
_atom_site_fract_y
_atom_site_fract_z
Pm1 Pm 0.2010 0.2500 0.4199
Pm2 Pm 0.2819 0.7500 0.0664
Si1 Si 0.3547 0.7500 0.7106
Rh1 Rh 0.1673 0.2500 0.7808

=====

No. 5
# HgTeSeI | Alexandria via LeMat-Bulk | PBE | optimized geometry
# Size of the total moment, μB/f.u.: 0.00
# Formation energy from raw total energies, eV/atom: -0.051
data_HgTeSeI
_chemical_formula_sum 'Hg2 Te2 Se2 I2'
_cell_length_a 7.8508
_cell_length_b 4.6529
_cell_length_c 8.3539
_cell_angle_alpha 90.00
_cell_angle_beta 103.86
_cell_angle_gamma 90.00
_symmetry_space_group_name_H-M 'C 1 m 1'
_symmetry_Int_Tables_number 8
_symmetry_space_group_name_Hall 'C -2y'
loop_
_atom_site_label
_atom_site_type_symbol
_atom_site_fract_x
_atom_site_fract_y
_atom_site_fract_z
Hg1 Hg 0.0000 0.0000 0.0000
Te1 Te 0.1854 0.0000 0.7558
Se1 Se 0.0689 0.5000 0.6155
I1 I 0.2784 0.5000 0.2141

=====

No. 6
# LiCr3Ga | Alexandria via LeMat-Bulk | PBE | optimized geometry
# Size of the total moment, μB/f.u.: 12.02
# Polymorph energy (0 for the lowest one), kJ/mol of formula units: 0
# Calculated formation energy, eV/atom: 1.087
data_LiCr3Ga
_chemical_formula_sum 'Li1 Cr3 Ga1'
_cell_length_a 4.8236
_cell_length_b 4.8236
_cell_length_c 4.8236
_cell_angle_alpha 90.00
_cell_angle_beta 90.00
_cell_angle_gamma 90.00
_symmetry_space_group_name_H-M 'P m -3 m'
_symmetry_Int_Tables_number 221
_symmetry_space_group_name_Hall '-P 4 2 3'
loop_
_atom_site_label
_atom_site_type_symbol
_atom_site_fract_x
_atom_site_fract_y
_atom_site_fract_z
Li1 Li 0.0000 0.0000 0.0000
Cr1 Cr 0.0000 0.5000 0.5000
Ga1 Ga 0.5000 0.5000 0.5000

=====

No. 7
# BaNa2VCu | Alexandria via LeMat-Bulk | PBE | optimized geometry
# Size of the total moment, μB/f.u.: 3.70
# Calculated formation energy, eV/atom: 0.577
data_BaNa2VCu
_chemical_formula_sum 'Ba1 Na2 V1 Cu1'
_cell_length_a 5.4675
_cell_length_b 5.4675
_cell_length_c 5.0862
_cell_angle_alpha 90.00
_cell_angle_beta 90.00
_cell_angle_gamma 90.00
_symmetry_space_group_name_H-M 'P 4/m m m'
_symmetry_Int_Tables_number 123
_symmetry_space_group_name_Hall '-P 4 2'
loop_
_atom_site_label
_atom_site_type_symbol
_atom_site_fract_x
_atom_site_fract_y
_atom_site_fract_z
Ba1 Ba 0.0000 0.0000 0.0000
Na1 Na 0.0000 0.5000 0.5000
V1 V 0.5000 0.5000 0.0000
Cu1 Cu 0.5000 0.5000 0.5000

=====

No. 8
# Nd2GaPd7 | Alexandria via LeMat-Bulk | PBE | optimized geometry
# Size of the total moment, μB/f.u.: 0.00
# Calculated formation energy, eV/atom: -0.184
data_Nd2GaPd7
_chemical_formula_sum 'Nd8 Ga4 Pd28'
_cell_length_a 9.5782
_cell_length_b 9.5782
_cell_length_c 9.5782
_cell_angle_alpha 90.00
_cell_angle_beta 90.00
_cell_angle_gamma 90.00
_symmetry_space_group_name_H-M 'F m -3 m'
_symmetry_Int_Tables_number 225
_symmetry_space_group_name_Hall '-F 4 2 3'
loop_
_atom_site_label
_atom_site_type_symbol
_atom_site_fract_x
_atom_site_fract_y
_atom_site_fract_z
Nd1 Nd 0.2500 0.2500 0.2500
Ga1 Ga 0.0000 0.0000 0.0000
Pd1 Pd 0.0000 0.0000 0.2406
Pd2 Pd 0.0000 0.0000 0.5000

=====

No. 9
# NaCu2F4 | Alexandria via LeMat-Bulk | PBE | optimized geometry
# Size of the total moment, μB/f.u.: 1.00
# Formation energy from raw total energies, eV/atom: -1.760
# Polymorph energy (0 for the lowest one), kJ/mol of formula units: 0
data_NaCu2F4
_chemical_formula_sum 'Na4 Cu8 F16'
_cell_length_a 5.8191
_cell_length_b 5.8191
_cell_length_c 10.4505
_cell_angle_alpha 90.00
_cell_angle_beta 90.00
_cell_angle_gamma 90.00
_symmetry_space_group_name_H-M 'I 41/a'
_symmetry_Int_Tables_number 88
loop_
_symmetry_equiv_pos_as_xyz
'x,y,z'
'-x,-y,-z'
'-y+3/4,x+1/4,z+1/4'
'y+3/4,-x+1/4,-z+1/4'
'-x+1/2,-y,z+1/2'
'x+1/2,y,-z+1/2'
'y+3/4,-x+3/4,z+3/4'
'-y+3/4,x+3/4,-z+3/4'
'x+1/2,y+1/2,z+1/2'
'-x+1/2,-y+1/2,-z+1/2'
'-y+1/4,x+3/4,z+3/4'
'y+1/4,-x+3/4,-z+3/4'
'-x,-y+1/2,z'
'x,y+1/2,-z'
'y+1/4,-x+1/4,z+1/4'
'-y+1/4,x+1/4,-z+1/4'
loop_
_atom_site_label
_atom_site_type_symbol
_atom_site_fract_x
_atom_site_fract_y
_atom_site_fract_z
Na1 Na 0.0000 0.2500 0.1250
Cu1 Cu 0.0000 0.0000 0.5000
F1 F 0.1514 0.4575 0.3287

=====

No. 10
# Ho3Th3InTc2 | Alexandria via LeMat-Bulk | PBE | optimized geometry
# Size of the total moment, μB/f.u.: 0.00
# Calculated formation energy, eV/atom: -0.035
data_Ho3Th3InTc2
_chemical_formula_sum 'Ho3 Th3 In1 Tc2'
_cell_length_a 7.8938
_cell_length_b 7.8938
_cell_length_c 4.3856
_cell_angle_alpha 90.00
_cell_angle_beta 90.00
_cell_angle_gamma 120.00
_symmetry_space_group_name_H-M 'P -6 2 m'
_symmetry_Int_Tables_number 189
_symmetry_space_group_name_Hall 'P -6 -2'
loop_
_atom_site_label
_atom_site_type_symbol
_atom_site_fract_x
_atom_site_fract_y
_atom_site_fract_z
Ho1 Ho 0.0000 0.2660 0.0000
Th1 Th 0.0000 0.5775 0.5000
In1 In 0.0000 0.0000 0.5000
Tc1 Tc 0.3333 0.6667 0.0000

=====

Table of calculated total energy (eV/atom), in record order: -6.22; -8.21; -4.66; -6.32; -2.17; -5.68; -2.98; -5.08; -4.19; -6.64